[1]
The following is a PBE calculation of an optimized crystal structure of TaCrHg2Cl, from Alexandria via LeMat-Bulk.

Geometry as CIF:
```
data_TaCrHg2Cl
_chemical_formula_sum 'Ta1 Cr1 Hg2 Cl1'
_cell_length_a 5.526
_cell_length_b 5.526
_cell_length_c 4.666
_cell_angle_alpha 90.00
_cell_angle_beta 90.00
_cell_angle_gamma 90.00
_space_group_name_H-M_alt 'P 4/m m m'
_space_group_IT_number 123
_space_group_name_Hall '-P 4 2'
loop_
_atom_site_label
_atom_site_type_symbol
_atom_site_fract_x
_atom_site_fract_y
_atom_site_fract_z
_atom_site_occupancy
Ta1 Ta 0.000 0.000 0.000 1
Cr1 Cr 0.000 0.000 0.500 1
Hg1 Hg 0.000 0.500 0.000 1
Cl1 Cl 0.500 0.500 0.500 1
```

Calculated values
energy	-19.1	eV/cell
Fermi-level density of states	0.548	states/eV/atom
formation energy without anion corrections	0.958	eV per atom


[2]
The following is a PBE calculation of an optimized crystal structure of NpGeBi2, from Alexandria via LeMat-Bulk.

Geometry as CIF:
```
data_NpGeBi2
_chemical_formula_sum 'Np1 Ge1 Bi2'
_cell_length_a 4.701
_cell_length_b 4.701
_cell_length_c 4.762
_cell_angle_alpha 90.00
_cell_angle_beta 90.00
_cell_angle_gamma 90.00
_space_group_name_H-M_alt 'P 4/m m m'
_space_group_IT_number 123
_space_group_name_Hall '-P 4 2'
loop_
_atom_site_label
_atom_site_type_symbol
_atom_site_fract_x
_atom_site_fract_y
_atom_site_fract_z
_atom_site_occupancy
Np1 Np 0.000 0.000 0.000 1
Ge1 Ge 0.500 0.500 0.000 1
Bi1 Bi 0.000 0.500 0.500 1
```

Calculated values
energy above the most stable polymorph in this dataset	0	meV per atom
calculated formation energy	3.8	kJ/mol of atoms
energy	-25.2	eV/cell
Fermi-level density of states	3.056	states/eV/atom


[3]
The following is a PBE calculation of an optimized crystal structure of GaCF, from Alexandria via LeMat-Bulk.

Geometry as CIF:
```
data_GaCF
_chemical_formula_sum 'Ga2 C2 F2'
_cell_length_a 4.992
_cell_length_b 2.604
_cell_length_c 6.254
_cell_angle_alpha 90.00
_cell_angle_beta 101.28
_cell_angle_gamma 90.00
_space_group_name_H-M_alt 'P 1 21/m 1'
_space_group_IT_number 11
loop_
_space_group_symop_operation_xyz
'x,y,z'
'-x,-y,-z'
'-x,y+1/2,-z'
'x,-y+1/2,z'
loop_
_atom_site_label
_atom_site_type_symbol
_atom_site_fract_x
_atom_site_fract_y
_atom_site_fract_z
_atom_site_occupancy
Ga1 Ga 0.180 0.250 0.389 1
C1 C 0.017 0.250 0.040 1
F1 F 0.441 0.750 0.662 1
```

Calculated values
energy	-31.9	eV/cell
Fermi-level density of states	0.135	states/eV/atom
formation energy without anion corrections	-0.602	eV per atom


[4]
The following is a PBE calculation of an optimized crystal structure of CaLaAg2, from Alexandria via LeMat-Bulk.

Geometry as CIF:
```
data_CaLaAg2
_chemical_formula_sum 'Ca1 La1 Ag2'
_cell_length_a 3.748
_cell_length_b 3.748
_cell_length_c 7.934
_cell_angle_alpha 90.00
_cell_angle_beta 90.00
_cell_angle_gamma 90.00
_space_group_name_H-M_alt 'P 4 m m'
_space_group_IT_number 99
loop_
_space_group_symop_operation_xyz
'x,y,z'
'-y,x,z'
'-x,-y,z'
'y,-x,z'
'-x,y,z'
'y,x,z'
'x,-y,z'
'-y,-x,z'
loop_
_atom_site_label
_atom_site_type_symbol
_atom_site_fract_x
_atom_site_fract_y
_atom_site_fract_z
_atom_site_occupancy
Ca1 Ca 0.000 0.000 0.000 1
La1 La 0.500 0.500 0.376 1
Ag1 Ag 0.000 0.000 0.607 1
Ag2 Ag 0.500 0.500 0.783 1
```

Calculated values
energy above the most stable polymorph in this dataset	161	meV per atom
calculated formation energy	-14.6	kJ/mol of atoms
energy	-13.2	eV/cell
Fermi-level density of states	0.686	states/eV/atom